Entry 1:
NaHoTi2O6 | GGA-PBEsol | optimized geometry

a = 5.254 Å, b = 5.474 Å, c = 7.534 Å
α = 90.00°, β = 90.00°, γ = 90.00°
Fractional coordinates of all 20 atoms:
O (0.719, 0.037, 0.710)
O (0.311, 0.442, 0.196)
O (0.311, 0.442, 0.804)
O (0.219, 0.963, 0.210)
O (0.396, 0.724, 0.500)
O (0.811, 0.558, 0.304)
O (0.719, 0.037, 0.290)
O (0.896, 0.276, 0.000)
O (0.219, 0.963, 0.790)
O (0.077, 0.226, 0.500)
O (0.811, 0.558, 0.696)
O (0.577, 0.774, 0.000)
Ho (0.983, 0.823, 0.500)
Ho (0.483, 0.177, 0.000)
Ti (0.989, 0.265, 0.748)
Ti (0.489, 0.735, 0.248)
Ti (0.989, 0.265, 0.252)
Ti (0.489, 0.735, 0.752)
Na (0.005, 0.717, 0.000)
Na (0.505, 0.283, 0.500)

Summary:
- Energy relative to the elements, uncorrected: -3079.2 meV/atom
- SG: Pmn2_1, No. 31
- Mass density: 5.8 g cm⁻³



Entry 2:
Zr2AlCu3 | GGA-PBEsol | optimized geometry

a = 5.139 Å, b = 5.139 Å, c = 8.017 Å
α = 90.00°, β = 90.00°, γ = 120.00°
Fractional coordinates of all 12 atoms:
Zr (0.667, 0.333, 0.546)
Zr (0.333, 0.667, 0.454)
Zr (0.667, 0.333, 0.954)
Zr (0.333, 0.667, 0.046)
Cu (0.830, 0.170, 0.250)
Cu (0.659, 0.830, 0.750)
Cu (0.341, 0.170, 0.250)
Cu (0.170, 0.341, 0.750)
Cu (0.170, 0.830, 0.750)
Cu (0.830, 0.659, 0.250)
Al (0.000, 0.000, 0.000)
Al (0.000, 0.000, 0.500)

Summary:
- SG: P6_3/mmc, No. 194
- Mass density: 7.2 g cm⁻³



no.,energy (eV per atom)
1,-8.528
2,-6.147